# 1
This record from the Alexandria database describes Li5V5Co2O12 after structural relaxation. The functional is PBE+U.

```
Li5V5Co2O12
1.0
4.477 2.606 -0.007
-4.477 2.606 -0.007
0.000 1.679 9.769
O V Co Li
12 5 2 5
Direct
0.533 0.716 0.625 O
0.786 0.941 0.881 O
0.633 0.158 0.372 O
0.059 0.214 0.119 O
0.228 0.057 0.623 O
0.359 0.846 0.121 O
0.732 0.551 0.117 O
0.842 0.367 0.628 O
0.943 0.772 0.377 O
0.154 0.641 0.879 O
0.284 0.467 0.375 O
0.449 0.268 0.883 O
0.574 0.426 0.500 V
0.998 0.488 0.259 V
0.425 0.575 0.000 V
0.512 0.002 0.741 V
0.087 0.913 0.000 V
0.244 0.756 0.500 Co
0.756 0.244 0.000 Co
0.311 0.150 0.265 Li
0.663 0.840 0.263 Li
0.917 0.083 0.500 Li
0.160 0.337 0.737 Li
0.850 0.689 0.735 Li
```

Computed properties:
Electronic total energy in eV per atom: -6.751
Calculated density in g/cm3: 4.36
Total magnetization in μB per formula unit: 16.0
SG: C2



# 2
This record from the Alexandria database describes Li2V5CoO12 after structural relaxation. The functional is PBE+U.

```
Li2V5CoO12
1.0
4.238 5.472 -0.016
-4.238 5.472 -0.016
0.000 2.193 5.238
O Co Li V
12 1 2 5
Direct
0.334 0.910 0.056 O
0.622 0.691 0.319 O
0.309 0.378 0.681 O
0.611 0.038 0.567 O
0.986 0.187 0.108 O
0.813 0.014 0.892 O
0.962 0.389 0.433 O
0.412 0.297 0.187 O
0.703 0.588 0.813 O
0.201 0.016 0.610 O
0.090 0.666 0.944 O
0.984 0.799 0.390 O
0.913 0.087 0.500 Co
0.283 0.717 0.500 Li
0.720 0.280 0.000 Li
0.162 0.379 0.052 V
0.621 0.838 0.948 V
0.378 0.188 0.517 V
0.084 0.916 0.000 V
0.812 0.622 0.483 V
```

Computed properties:
Electronic total energy in eV per atom: -7.174
Calculated density in g/cm3: 3.55
Total magnetization in μB per formula unit: 8.0
SG: C2



# 3
This record from the Alexandria database describes Li5V2Co5O12 after structural relaxation. The functional is PBE+U.

```
Li5V2Co5O12
1.0
4.532 2.524 0.010
-4.532 2.524 0.010
0.000 1.945 9.716
O Co V Li
12 5 2 5
Direct
0.895 0.414 0.116 O
0.288 0.476 0.884 O
0.107 0.605 0.385 O
0.021 0.206 0.623 O
0.243 0.055 0.116 O
0.395 0.893 0.615 O
0.945 0.757 0.884 O
0.586 0.105 0.884 O
0.479 0.291 0.380 O
0.709 0.521 0.620 O
0.794 0.979 0.377 O
0.524 0.712 0.116 O
0.420 0.580 0.500 Co
0.081 0.919 0.500 Co
0.512 0.008 0.247 Co
0.581 0.419 0.000 Co
0.992 0.488 0.753 Co
0.750 0.250 0.500 V
0.257 0.743 0.000 V
0.832 0.677 0.246 Li
0.922 0.078 0.000 Li
0.323 0.168 0.754 Li
0.667 0.823 0.752 Li
0.177 0.333 0.248 Li
```

Computed properties:
Electronic total energy in eV per atom: -6.163
Calculated density in g/cm3: 4.66
Total magnetization in μB per formula unit: 14.0
SG: C2



# 4
This record from the Alexandria database describes Li4Co3WO8 after structural relaxation. The functional is PBE+U.

```
Li4Co3WO8
1.0
-4.786 -2.427 -2.686
-0.926 -5.913 0.432
-4.541 -2.024 3.360
Li Co O W
4 3 8 1
Direct
0.000 0.500 0.000 Li
0.500 0.500 0.500 Li
0.000 0.000 0.500 Li
0.500 0.000 0.000 Li
0.500 0.000 0.500 Co
0.500 0.500 0.000 Co
0.000 0.500 0.500 Co
0.231 0.231 0.776 O
0.224 0.769 0.769 O
0.231 0.776 0.231 O
0.769 0.224 0.769 O
0.769 0.769 0.224 O
0.263 0.263 0.263 O
0.737 0.737 0.737 O
0.776 0.231 0.231 O
0.000 0.000 0.000 W
```

Computed properties:
Electronic total energy in eV per atom: -6.041
Calculated density in g/cm3: 5.53
Total magnetization in μB per formula unit: 9.0
SG: R-3m



# 5
This record from the Alexandria database describes Li2CoW2O8 after structural relaxation. The functional is PBE+U.

```
Li2CoW2O8
1.0
5.042 0.008 -0.002
2.499 5.114 0.000
0.132 2.103 5.547
O W Li Co
8 2 2 1
Direct
0.247 0.247 0.193 O
0.727 0.238 0.922 O
0.317 0.720 0.543 O
0.830 0.722 0.333 O
0.683 0.280 0.457 O
0.753 0.753 0.807 O
0.170 0.278 0.667 O
0.273 0.762 0.078 O
0.732 0.525 0.662 W
0.268 0.475 0.338 W
0.040 0.917 0.750 Li
0.960 0.083 0.250 Li
0.500 0.000 0.000 Co
```

Computed properties:
Electronic total energy in eV per atom: -6.789
Calculated density in g/cm3: 6.61
Total magnetization in μB per formula unit: 3.0
SG: P-1



# 6
This record from the Alexandria database describes LiCoW2O8 after structural relaxation. The functional is PBE+U.

```
LiCoW2O8
1.0
-4.980 -0.001 0.010
2.310 5.116 0.000
-0.074 -2.182 -5.435
Co W O Li
1 2 8 1
Direct
0.504 0.003 0.016 Co
0.268 0.520 0.336 W
0.733 0.478 0.669 W
0.170 0.724 0.674 O
0.761 0.252 0.819 O
0.293 0.227 0.067 O
0.324 0.284 0.548 O
0.256 0.747 0.185 O
0.672 0.715 0.464 O
0.712 0.777 0.927 O
0.824 0.286 0.330 O
0.035 0.061 0.706 Li
```

Computed properties:
Electronic total energy in eV per atom: -6.848
Calculated density in g/cm3: 6.74
Total magnetization in μB per formula unit: 4.0
SG: P1



# 7
This record from the Alexandria database describes LiY2CoO after structural relaxation. The functional is PBE+U.

```
LiY2CoO
1.0
-1.802 -4.264 -1.283
3.747 -2.200 2.048
-1.925 -0.186 3.321
Co Li Y O
1 1 2 1
Direct
0.500 0.500 0.500 Co
0.000 0.000 0.500 Li
0.000 0.500 0.000 Y
0.500 0.000 0.000 Y
0.000 0.000 0.000 O
```

Computed properties:
Electronic total energy in eV per atom: -6.017
Calculated density in g/cm3: 4.86
Total magnetization in μB per formula unit: 1.2
SG: P4/mmm



# 8
This record from the Alexandria database describes LiYCoO2 after structural relaxation. The functional is PBE+U.

```
LiYCoO2
1.0
3.945 0.000 0.000
0.000 3.722 0.000
0.000 0.000 3.945
Co Li Y O
1 1 1 2
Direct
0.000 0.000 0.000 Co
0.000 0.500 0.000 Li
0.500 0.500 0.500 Y
0.500 0.000 0.000 O
0.000 0.000 0.500 O
```

Computed properties:
Electronic total energy in eV per atom: -5.503
Calculated density in g/cm3: 5.35
Total magnetization in μB per formula unit: 0.3
SG: P4/mmm